Density functional theory data (PBE) for an optimized crystal structure of VCd2Ru.

Properties
- ρ: 8.99 g cm⁻³
- Calculated formation energy: 1.91 eV/f.u.

a = 4.618 Å, b = 4.618 Å, c = 4.618 Å
α = 60.00°, β = 60.00°, γ = 60.00°
Sites, in units of the cell vectors:
V: 0.000 0.000 0.000
Cd: 0.250 0.250 0.250
Cd: 0.750 0.750 0.750
Ru: 0.500 0.500 0.500